[1]
Density functional theory data (PBE) for an optimized crystal structure of Co2TcHg.

Unit cell a=3.013 b=4.594 c=8.563 alpha=90.00 beta=90.00 gamma=90.00
Element x y z (fractional)
1 Co 0.000 0.000 0.234
2 Co 0.000 0.000 0.766
3 Co 0.500 0.500 0.266
4 Co 0.500 0.500 0.734
5 Tc 0.000 0.500 0.500
6 Tc 0.500 0.000 0.000
7 Hg 0.000 0.500 0.000
8 Hg 0.500 0.000 0.500

calculated formation energy = 0.6038 eV per atom
mass density = 11.7 g/cm³
size of the total moment = 4.348 μB per formula unit

***

[2]
Density functional theory data (PBE) for an optimized crystal structure of Co2TcHg.

Unit cell a=5.668 b=7.319 c=2.736 alpha=90.00 beta=90.00 gamma=90.00
Element x y z (fractional)
1 Co 0.250 0.250 0.000
2 Co 0.250 0.750 0.000
3 Co 0.750 0.250 0.000
4 Co 0.750 0.750 0.000
5 Tc 0.000 0.000 0.500
6 Tc 0.500 0.500 0.500
7 Hg 0.000 0.500 0.500
8 Hg 0.500 0.000 0.500

calculated formation energy = 0.5111 eV per atom
mass density = 12.2 g/cm³
size of the total moment = 3.430 μB per formula unit

***

[3]
Density functional theory data (PBE) for an optimized crystal structure of Co2TcHg.

Unit cell a=9.013 b=2.750 c=4.689 alpha=90.00 beta=103.09 gamma=90.00
Element x y z (fractional)
1 Co 0.000 0.000 0.000
2 Co 0.225 0.500 0.254
3 Co 0.500 0.500 0.000
4 Co 0.725 0.000 0.254
5 Tc 0.256 0.000 0.825
6 Tc 0.756 0.500 0.825
7 Hg 0.486 0.000 0.494
8 Hg 0.986 0.500 0.494

calculated formation energy = 0.4549 eV per atom
mass density = 12.2 g/cm³
size of the total moment = 2.532 μB per formula unit